The following is a GGA-PBE calculation of a geometry-optimized Tl2SnPb structure, from Alexandria.

Cell and atoms, written as extended XYZ:
```
8
Lattice="4.711 0.000 0.000 0.000 4.717 0.000 -2.327 0.000 11.286" Properties=species:S:1:pos:R:3 pbc="T T T"
Tl 0.045 1.179 1.458
Tl -0.009 1.179 9.790
Tl 2.392 3.538 1.496
Tl 2.338 3.538 9.828
Sn -0.032 3.538 7.414
Sn 2.415 1.179 3.872
Pb 0.056 3.538 4.264
Pb 2.327 1.179 7.022
```

Values from the calculation:
ΔE to the lowest computed polymorph in eV/f.u.: 0.14
E_form in kJ per mole of atoms: 3
Space group: P2_1/m
Size of the total moment in μB/f.u.: 0.00

=====

The following is a GGA-PBE calculation of a geometry-optimized Tb3HgRh8 structure, from Alexandria.

Cell and atoms, written as extended XYZ:
```
12
Lattice="2.656 1.533 8.728 -2.656 1.533 8.728 0.000 -3.066 8.728" Properties=species:S:1:pos:R:3 pbc="T T T"
Tb 0.000 0.000 0.000
Tb 0.000 0.000 3.384
Tb 0.000 0.000 13.366
Hg 0.000 0.000 16.549
Rh 0.000 -1.528 6.117
Rh -1.324 0.764 6.117
Rh -1.326 -0.766 10.497
Rh 0.000 0.000 8.303
Rh 1.324 0.764 6.117
Rh 1.326 -0.766 10.497
Rh 0.000 1.531 10.497
Rh 0.000 0.000 21.396
```

Values from the calculation:
E_form in kJ per mole of atoms: -54
Space group: R3m
Size of the total moment in μB/f.u.: 0.00

=====

The following is a GGA-PBE calculation of a geometry-optimized AgSb2Os structure, from Alexandria.

Cell and atoms, written as extended XYZ:
```
4
Lattice="3.196 0.000 0.000 0.000 3.196 0.000 0.000 0.000 8.399" Properties=species:S:1:pos:R:3 pbc="T T T"
Ag 0.000 0.000 0.000
Sb 0.000 0.000 3.360
Sb 1.598 1.598 6.378
Os 1.598 1.598 1.889
```

Values from the calculation:
Energy relative to the elements, uncorrected in eV per atom: 0.432
ΔE to the lowest computed polymorph in eV/f.u.: 0.45
Space group: P4mm
Size of the total moment in μB/f.u.: 0.00

=====

The following is a GGA-PBE calculation of a geometry-optimized ErSc4Tc2 structure, from Alexandria.

Cell and atoms, written as extended XYZ:
```
14
Lattice="7.360 0.000 0.000 0.000 5.895 0.000 -2.807 0.000 7.014" Properties=species:S:1:pos:R:3 pbc="T T T"
Er -0.333 1.474 1.095
Er 4.886 4.421 5.919
Sc 0.118 0.001 4.090
Sc 0.118 2.947 4.090
Sc 1.718 4.421 1.815
Sc 2.804 1.474 0.172
Sc 1.748 4.421 6.842
Sc 2.834 1.474 5.199
Sc 4.434 5.894 2.924
Sc 4.434 2.948 2.924
Tc -1.856 1.474 5.277
Tc 2.073 1.474 2.686
Tc 2.479 4.421 4.328
Tc 6.408 4.421 1.737
```

Values from the calculation:
E_form in kJ per mole of atoms: -15
Space group: P2_1/m
Size of the total moment in μB/f.u.: 0.00

=====

The following is a GGA-PBE calculation of a geometry-optimized ScTa2AgPb structure, from Alexandria.

Cell and atoms, written as extended XYZ:
```
5
Lattice="4.881 0.000 0.000 0.000 4.881 0.000 0.000 0.000 5.127" Properties=species:S:1:pos:R:3 pbc="T T T"
Sc 0.000 0.000 0.000
Ta 0.000 2.440 0.000
Ta 2.440 0.000 0.000
Ag 0.000 0.000 2.564
Pb 2.440 2.440 2.564
```

Values from the calculation:
E_form in kJ per mole of atoms: 152
Space group: P4/mmm
Size of the total moment in μB/f.u.: 0.00

=====

The following is a GGA-PBE calculation of a geometry-optimized TiSnPd3 structure, from Alexandria.

Cell and atoms, written as extended XYZ:
```
10
Lattice="2.370 -7.323 0.000 2.370 7.323 0.000 0.000 0.000 4.746" Properties=species:S:1:pos:R:3 pbc="T T T"
Ti 2.370 5.273 3.559
Ti 2.370 -5.273 1.186
Sn 2.370 2.130 3.559
Sn 2.370 -2.130 1.186
Pd 2.370 6.570 1.186
Pd 2.370 3.669 1.186
Pd 2.370 0.818 1.186
Pd 2.370 -0.818 3.559
Pd 2.370 -3.669 3.559
Pd 2.370 -6.570 3.559
```

Values from the calculation:
ΔE to the lowest computed polymorph in eV/f.u.: 0.00
E_form in kJ per mole of atoms: -59
Space group: Cmcm
Size of the total moment in μB/f.u.: 0.00

=====

The following is a GGA-PBE calculation of a geometry-optimized SrCuAuBr2 structure, from Alexandria.

Cell and atoms, written as extended XYZ:
```
5
Lattice="5.131 0.000 0.000 0.000 5.131 0.000 0.000 0.000 5.076" Properties=species:S:1:pos:R:3 pbc="T T T"
Sr 0.000 0.000 0.000
Cu 2.566 2.566 2.538
Au 2.566 2.566 0.000
Br 0.000 2.566 2.538
Br 2.566 0.000 2.538
```

Values from the calculation:
Energy relative to the elements, uncorrected in eV per atom: -0.707
Space group: P4/mmm
Size of the total moment in μB/f.u.: 0.00

=====

The following is a GGA-PBE calculation of a geometry-optimized Ni4Te2N structure, from Alexandria.

Cell and atoms, written as extended XYZ:
```
14
Lattice="3.803 0.000 0.000 0.000 3.803 0.000 0.000 0.000 13.945" Properties=species:S:1:pos:R:3 pbc="T T T"
Ni 0.000 0.000 1.931
Ni 0.000 0.000 12.014
Ni 0.000 1.901 0.000
Ni 0.000 1.901 6.972
Ni 1.901 0.000 0.000
Ni 1.901 0.000 6.972
Ni 1.901 1.901 5.041
Ni 1.901 1.901 8.903
Te 0.000 0.000 4.578
Te 0.000 0.000 9.367
Te 1.901 1.901 2.395
Te 1.901 1.901 11.550
N 0.000 0.000 0.000
N 1.901 1.901 6.972
```

Values from the calculation:
Energy relative to the elements, uncorrected in eV per atom: 0.040
Space group: I4/mmm
Size of the total moment in μB/f.u.: 0.00

=====

What did the seventh record say?
The following is a GGA-PBE calculation of a geometry-optimized SrCuAuBr2 structure, from Alexandria.

Cell and atoms, written as extended XYZ:
```
5
Lattice="5.131 0.000 0.000 0.000 5.131 0.000 0.000 0.000 5.076" Properties=species:S:1:pos:R:3 pbc="T T T"
Sr 0.000 0.000 0.000
Cu 2.566 2.566 2.538
Au 2.566 2.566 0.000
Br 0.000 2.566 2.538
Br 2.566 0.000 2.538
```

Values from the calculation:
Energy relative to the elements, uncorrected in eV per atom: -0.707
Space group: P4/mmm
Size of the total moment in μB/f.u.: 0.00